DFT (GGA+U) results for crystalline K2RbWF8 at its relaxed geometry.

Values from the calculation:
Raw total energy: -4.849 eV per atom
Fermi-level density of states: 0.000 states/eV per cell
Space-group type: No. 10

abc: 4.6359 6.1777 8.6261
angles: 89.99 89.99 98.90
Site moments in Bohr magnetons follow the coordinates.
Fractional positions:
F 0.6289 0.8050 0.0000  0.01
F 0.1001 0.8101 0.8349  0.01
F 0.8999 0.1899 0.1651  0.01
F 0.4449 0.7397 0.5000  0.00
F 0.9002 0.1901 0.8349  0.01
F 0.5551 0.2603 0.5000  0.00
F 0.0998 0.8099 0.1651  0.01
F 0.3711 0.1950 0.0000  0.01
K 0.5001 0.5000 0.2760  0.00
K 0.4999 0.5000 0.7240  0.00
Rb 0.0000 0.0000 0.5000  0.00
W 0.0000 0.0000 0.0000  0.98